Computed, not measured: crystalline HfPdN2F at its relaxed geometry at the PBE level of DFT.

E above lowest polymorph = 685.1 meV per atom
raw formation energy = 32 kJ/mol of atoms
total magnetic moment = 0.00 μB per cell

Cell and atoms, written as extended XYZ:
```
5
Lattice="4.0141 0.0000 0.0000 0.0000 4.0141 0.0000 0.0000 0.0000 3.8573" Properties=species:S:1:pos:R:3 pbc="T T T"
Hf 0.0000 0.0000 0.0000
Pd 2.0071 2.0071 1.9286
N 0.0000 2.0071 1.9286
N 2.0071 0.0000 1.9286
F 2.0071 2.0071 0.0000
```